(1)
Density functional theory data (PBE) for a relaxed structure of Al3ReNi.

Summary:
The calculated formation energy comes out at 0.56 eV/atom. For the energy above the most stable polymorph in this dataset, the calculation gives 0 meV per atom. The total moment comes out at 1.3 μB/f.u. The calculation puts the volume at 16.2 A^3/atom.

Unit cell a=4.325 b=4.325 c=4.325 alpha=90.00 beta=90.00 gamma=90.00
Space group Pm-3m (No. 221)
One atom of each set of equivalent atoms:
Al 0.000 0.000 0.500 [3 per cell]
Re 0.500 0.500 0.500 [1 per cell]
Ni 0.000 0.000 0.000 [1 per cell]


(2)
Density functional theory data (PBE) for a relaxed structure of Ho5MgAg3.

Summary:
The calculated formation energy comes out at -0.13 eV/atom. The total moment comes out at 0.0 μB/f.u. The calculation puts the volume at 25.5 A^3/atom.

Unit cell a=8.9919 b=8.9919 c=6.5535 alpha=90.00 beta=90.00 gamma=120.00
Space group P6_3/mcm (No. 193)
One atom of each set of equivalent atoms:
Ho 0.0000 0.3184 0.2500 [6 per cell]
Ho 0.3333 0.6667 0.0000 [4 per cell]
Mg 0.0000 0.0000 0.0000 [2 per cell]
Ag 0.0000 0.3504 0.7500 [6 per cell]


(3)
Density functional theory data (PBE) for a relaxed structure of Rb2NaCd.

Summary:
The calculated formation energy comes out at 0.14 eV/atom. The total moment comes out at 0.0 μB/f.u. The calculation puts the volume at 56.7 A^3/atom.

Unit cell a=4.3849 b=4.3849 c=40.8332 alpha=90.00 beta=90.00 gamma=120.00
Space group R-3m (No. 166, hexagonal axes)
One atom of each set of equivalent atoms:
Rb 0.0000 0.0000 0.0972 [6 per cell]
Na 0.0000 0.0000 0.0000 [3 per cell]
Cd 0.0000 0.0000 0.5000 [3 per cell]


(4)
Density functional theory data (PBE) for a relaxed structure of MnCo2Mo.

Summary:
The calculated formation energy comes out at 0.07 eV/atom. For the energy above the most stable polymorph in this dataset, the calculation gives 75 meV per atom. The total moment comes out at 6.5 μB/f.u. The calculation puts the volume at 12.7 A^3/atom.

Unit cell a=5.886 b=5.886 c=5.886 alpha=90.00 beta=90.00 gamma=90.00
Space group Fm-3m (No. 225)
One atom of each set of equivalent atoms:
Mn 0.000 0.000 0.000 [4 per cell]
Co 0.250 0.250 0.250 [8 per cell]
Mo 0.000 0.000 0.500 [4 per cell]


(5)
Density functional theory data (PBE) for a relaxed structure of KNaIn2Pb.

Summary:
The calculated formation energy comes out at 0.35 eV/atom. The total moment comes out at 0.0 μB/f.u. The calculation puts the volume at 35.4 A^3/atom.

Unit cell a=5.614 b=5.614 c=5.614 alpha=90.00 beta=90.00 gamma=90.00
Space group P4/mmm (No. 123)
One atom of each set of equivalent atoms:
K 0.000 0.000 0.000 [1 per cell]
Na 0.000 0.000 0.500 [1 per cell]
In 0.000 0.500 0.500 [2 per cell]
Pb 0.500 0.500 0.000 [1 per cell]


(6)
Density functional theory data (PBE) for a relaxed structure of Pm2Zn16Co.

Summary:
The calculated formation energy comes out at -0.22 eV/atom. The total moment comes out at 0.8 μB/f.u. The calculation puts the volume at 16.2 A^3/atom.

Unit cell a=8.9872 b=8.9872 c=13.1734 alpha=90.00 beta=90.00 gamma=120.00
Space group R3m (No. 160, hexagonal axes)
One atom of each set of equivalent atoms:
Pm 0.0000 0.0000 0.0000 [3 per cell]
Pm 0.0000 0.0000 0.3320 [3 per cell]
Zn 0.0000 0.0000 0.5743 [3 per cell]
Zn 0.0002 0.2867 0.6713 [18 per cell]
Zn 0.0085 0.5043 0.8210 [9 per cell]
Zn 0.1674 0.3349 0.8514 [9 per cell]
Zn 0.1733 0.3466 0.5039 [9 per cell]
Co 0.0000 0.0000 0.7681 [3 per cell]